Record 1
Compound: CuNiPt2
Source: the Alexandria database
Functional: GGA-PBE
Structure: relaxed

Cell: 2.7281 2.7281 25.8403 Å, 90.00 90.00 120.00°
With the nearest neighbours (Å) after each atom.
Element x y z (fractional)
Cu (0.0000, 0.0000, 0.0000)  6 Pt 2.69-2.70, 6 Cu 2.73
Cu (0.3333, 0.6667, 0.6667)  6 Pt 2.69-2.70, 6 Cu 2.73
Cu (0.6667, 0.3333, 0.3333)  6 Pt 2.69-2.70, 6 Cu 2.73
Ni (0.0000, 0.0000, 0.1671)  6 Pt 2.64-2.65, 6 Ni 2.73
Ni (0.3333, 0.6667, 0.8338)  6 Pt 2.64-2.65, 6 Ni 2.73
Ni (0.6667, 0.3333, 0.5005)  6 Pt 2.64-2.65, 6 Ni 2.73
Pt (0.0000, 0.0000, 0.5823)  3 Ni 2.64, 3 Cu 2.69, 6 Pt 2.73
Pt (0.0000, 0.0000, 0.7515)  3 Ni 2.65, 3 Cu 2.70, 6 Pt 2.73
Pt (0.3333, 0.6667, 0.2490)  3 Ni 2.64, 3 Cu 2.69, 6 Pt 2.73
Pt (0.3333, 0.6667, 0.4181)  3 Ni 2.65, 3 Cu 2.70, 6 Pt 2.73
Pt (0.6667, 0.3333, 0.0848)  3 Ni 2.65, 3 Cu 2.70, 6 Pt 2.73
Pt (0.6667, 0.3333, 0.9156)  3 Ni 2.64, 3 Cu 2.69, 6 Pt 2.73

Properties
V ... 166.5 Å³/cell
Total energy ... -5.5713 eV/atom
N(E_F) ... 1.428 states/eV per atom
Symmetry ... R3m, No. 160
Energy of formation from the pure elements ... -0.082 eV/atom


Record 2
Compound: CuNiPt
Source: the Alexandria database
Functional: GGA-PBE
Structure: relaxed

Cell: 2.6908 4.5144 13.1431 Å, 90.00 90.00 90.00°
With the nearest neighbours (Å) after each atom.
Element x y z (fractional)
Cu (0.0000, 0.0000, 0.0000)  2 Ni 2.44, 6 Cu 2.63-2.69, 2 Pt 2.66
Cu (0.0000, 0.5000, 0.5000)  2 Ni 2.44, 6 Cu 2.63-2.69, 2 Pt 2.66
Cu (0.5000, 0.0000, 0.5000)  2 Ni 2.44, 6 Cu 2.63-2.69, 2 Pt 2.66
Cu (0.5000, 0.5000, 0.0000)  2 Ni 2.44, 6 Cu 2.63-2.69, 2 Pt 2.66
Ni (0.0000, 0.0000, 0.3455)  2 Cu 2.44, 2 Pt 2.62, 6 Ni 2.63-2.69
Ni (0.0000, 0.5000, 0.8455)  2 Cu 2.44, 2 Pt 2.62, 6 Ni 2.63-2.69
Ni (0.5000, 0.0000, 0.8455)  2 Cu 2.44, 2 Pt 2.62, 6 Ni 2.63-2.69
Ni (0.5000, 0.5000, 0.3455)  2 Cu 2.44, 2 Pt 2.62, 6 Ni 2.63-2.69
Pt (0.0000, 0.0000, 0.6744)  2 Ni 2.62, 6 Pt 2.63-2.69, 2 Cu 2.66
Pt (0.0000, 0.5000, 0.1744)  2 Ni 2.62, 6 Pt 2.63-2.69, 2 Cu 2.66
Pt (0.5000, 0.0000, 0.1744)  2 Ni 2.62, 6 Pt 2.63-2.69, 2 Cu 2.66
Pt (0.5000, 0.5000, 0.6744)  2 Ni 2.62, 6 Pt 2.63-2.69, 2 Cu 2.66

Properties
V ... 159.7 Å³/cell
Total energy ... -5.2670 eV/atom
N(E_F) ... 0.907 states/eV per atom
Relative energy among the computed polymorphs ... 0.120 eV/atom
Symmetry ... Fmm2, No. 42
Energy of formation from the pure elements ... 0.039 eV/atom


Record 3
Compound: CuNi2Pt
Source: the Alexandria database
Functional: GGA-PBE
Structure: relaxed

Cell: 3.0096 3.0096 5.5016 Å, 90.00 90.00 90.00°
With the nearest neighbours (Å) after each atom.
Element x y z (fractional)
Cu (0.0000, 0.0000, 0.0000)  5 Ni 2.49-2.51, 4 Pt 2.61
Ni (0.0000, 0.0000, 0.4566)  4 Ni 2.45, 1 Cu 2.51, 4 Pt 2.59
Ni (0.5000, 0.5000, 0.2349)  4 Ni 2.45, 4 Cu 2.49, 1 Pt 2.69
Pt (0.5000, 0.5000, 0.7239)  6 Ni 2.59-2.81, 4 Cu 2.61

Properties
V ... 49.8 Å³/cell
Total energy ... -5.4253 eV/atom
N(E_F) ... 0.910 states/eV per atom
Symmetry ... P4mm, No. 99
Energy of formation from the pure elements ... 0.000 eV/atom


Record 4
Compound: Cu2Ni2Pt
Source: the Alexandria database
Functional: GGA-PBE
Structure: relaxed

Cell: 4.9302 4.9302 6.9575 Å, 107.20 107.20 50.70°
With the nearest neighbours (Å) after each atom.
Element x y z (fractional)
Cu (0.0310, 0.0310, 0.3357)  2 Cu 2.46-2.52, 4 Ni 2.50-2.62, 3 Pt 2.61-2.64
Cu (0.2607, 0.2607, 0.7751)  5 Ni 2.45-2.52, 1 Cu 2.46, 3 Pt 2.59-2.62
Cu (0.7393, 0.7393, 0.2249)  5 Ni 2.45-2.52, 1 Cu 2.46, 3 Pt 2.59-2.62
Cu (0.9690, 0.9690, 0.6643)  2 Cu 2.46-2.52, 4 Ni 2.50-2.62, 3 Pt 2.61-2.64
Ni (0.1440, 0.1440, 0.0489)  4 Ni 2.43-2.54, 5 Cu 2.45-2.62
Ni (0.4442, 0.4442, 0.1388)  4 Ni 2.44-2.54, 4 Cu 2.50-2.52, 1 Pt 2.58
Ni (0.5558, 0.5558, 0.8612)  4 Ni 2.44-2.54, 4 Cu 2.50-2.52, 1 Pt 2.58
Ni (0.8560, 0.8560, 0.9511)  4 Ni 2.43-2.54, 5 Cu 2.45-2.62
Pt (0.3403, 0.3403, 0.4446)  2 Ni 2.58-2.74, 6 Cu 2.59-2.64, 1 Pt 2.69
Pt (0.6597, 0.6597, 0.5554)  2 Ni 2.58-2.74, 6 Cu 2.59-2.64, 1 Pt 2.69

Properties
V ... 123.7 Å³/cell
Total energy ... -5.1408 eV/atom
N(E_F) ... 1.320 states/eV per atom
Relative energy among the computed polymorphs ... 0.000 eV/atom
Symmetry ... C2/m, No. 12
Energy of formation from the pure elements ... 0.018 eV/atom


Record 5
Compound: Cu6NiPt8
Source: the Alexandria database
Functional: GGA-PBE
Structure: relaxed

Cell: 7.1568 7.1568 5.1370 Å, 90.00 90.00 120.00°
With the nearest neighbours (Å) after each atom.
Element x y z (fractional)
Cu (0.0274, 0.6699, 0.1027)  3 Cu 2.50-2.68, 1 Ni 2.52, 5 Pt 2.53-2.77
Cu (0.3301, 0.3575, 0.1027)  3 Cu 2.50-2.68, 1 Ni 2.52, 5 Pt 2.53-2.77
Cu (0.3575, 0.0274, 0.8973)  3 Cu 2.50-2.68, 1 Ni 2.52, 5 Pt 2.53-2.77
Cu (0.6425, 0.9726, 0.1027)  3 Cu 2.50-2.68, 1 Ni 2.52, 5 Pt 2.53-2.77
Cu (0.6699, 0.6425, 0.8973)  3 Cu 2.50-2.68, 1 Ni 2.52, 5 Pt 2.53-2.77
Cu (0.9726, 0.3301, 0.8973)  3 Cu 2.50-2.68, 1 Ni 2.52, 5 Pt 2.53-2.77
Ni (0.0000, 0.0000, 0.0000)  6 Cu 2.52
Pt (0.0370, 0.3464, 0.3879)  4 Cu 2.53-2.77, 4 Pt 2.62-2.76
Pt (0.3094, 0.9630, 0.3879)  4 Cu 2.53-2.77, 4 Pt 2.62-2.76
Pt (0.3333, 0.6667, 0.7509)  6 Cu 2.61-2.85, 6 Pt 2.70-2.89
Pt (0.3464, 0.3094, 0.6121)  4 Cu 2.53-2.77, 4 Pt 2.62-2.76
Pt (0.6536, 0.6906, 0.3879)  4 Cu 2.53-2.77, 4 Pt 2.62-2.76
Pt (0.6667, 0.3333, 0.2491)  6 Cu 2.61-2.85, 6 Pt 2.70-2.89
Pt (0.6906, 0.0370, 0.6121)  4 Cu 2.53-2.77, 4 Pt 2.62-2.76
Pt (0.9630, 0.6536, 0.6121)  4 Cu 2.53-2.77, 4 Pt 2.62-2.76

Properties
V ... 227.9 Å³/cell
Total energy ... -5.1108 eV/atom
N(E_F) ... 1.336 states/eV per atom
Relative energy among the computed polymorphs ... 0.046 eV/atom
Symmetry ... P-3, No. 147
Energy of formation from the pure elements ... 0.135 eV/atom


Record 6
Compound: Cu4Ni5Pt2
Source: the Alexandria database
Functional: GGA-PBE
Structure: relaxed

Cell: 6.1455 16.9236 2.6242 Å, 90.00 90.00 90.00°
With the nearest neighbours (Å) after each atom.
Element x y z (fractional)
Cu (0.0065, 0.1288, 0.0000)  6 Ni 2.50-2.54, 3 Cu 2.56-2.62, 2 Pt 2.62-2.72
Cu (0.1706, 0.4608, 0.0000)  4 Cu 2.48-2.62, 8 Ni 2.50-2.56
Cu (0.3294, 0.9608, 0.0000)  4 Cu 2.48-2.62, 8 Ni 2.50-2.56
Cu (0.4935, 0.6288, 0.0000)  6 Ni 2.50-2.54, 3 Cu 2.56-2.62, 2 Pt 2.62-2.72
Cu (0.5065, 0.3712, 0.0000)  6 Ni 2.50-2.54, 3 Cu 2.56-2.62, 2 Pt 2.62-2.72
Cu (0.6706, 0.0392, 0.0000)  4 Cu 2.48-2.62, 8 Ni 2.50-2.56
Cu (0.8294, 0.5392, 0.0000)  4 Cu 2.48-2.62, 8 Ni 2.50-2.56
Cu (0.9935, 0.8712, 0.0000)  6 Ni 2.50-2.54, 3 Cu 2.56-2.62, 2 Pt 2.62-2.72
Ni (0.0000, 0.0000, 0.5000)  8 Cu 2.50-2.54, 4 Ni 2.54-2.62
Ni (0.1625, 0.5870, 0.5000)  4 Ni 2.46-2.62, 6 Cu 2.51-2.56, 2 Pt 2.62
Ni (0.1748, 0.3349, 0.5000)  3 Ni 2.46-2.62, 4 Cu 2.50, 4 Pt 2.56-2.58
Ni (0.3252, 0.8349, 0.5000)  3 Ni 2.46-2.62, 4 Cu 2.50, 4 Pt 2.56-2.58
Ni (0.3375, 0.0870, 0.5000)  4 Ni 2.46-2.62, 6 Cu 2.51-2.56, 2 Pt 2.62
Ni (0.5000, 0.5000, 0.5000)  8 Cu 2.50-2.54, 4 Ni 2.54-2.62
Ni (0.6625, 0.9130, 0.5000)  4 Ni 2.46-2.62, 6 Cu 2.51-2.56, 2 Pt 2.62
Ni (0.6748, 0.1651, 0.5000)  3 Ni 2.46-2.62, 4 Cu 2.50, 4 Pt 2.56-2.58
Ni (0.8252, 0.6651, 0.5000)  3 Ni 2.46-2.62, 4 Cu 2.50, 4 Pt 2.56-2.58
Ni (0.8375, 0.4130, 0.5000)  4 Ni 2.46-2.62, 6 Cu 2.51-2.56, 2 Pt 2.62
Pt (0.1520, 0.7212, 0.0000)  6 Ni 2.56-2.62, 2 Cu 2.62-2.72, 2 Pt 2.62
Pt (0.3480, 0.2212, 0.0000)  6 Ni 2.56-2.62, 2 Cu 2.62-2.72, 2 Pt 2.62
Pt (0.6520, 0.7788, 0.0000)  6 Ni 2.56-2.62, 2 Cu 2.62-2.72, 2 Pt 2.62
Pt (0.8480, 0.2788, 0.0000)  6 Ni 2.56-2.62, 2 Cu 2.62-2.72, 2 Pt 2.62

Properties
V ... 272.9 Å³/cell
Total energy ... -5.1794 eV/atom
N(E_F) ... 1.449 states/eV per atom
Symmetry ... Pbam, No. 55
Energy of formation from the pure elements ... 0.036 eV/atom


Record 7
Compound: Cu6NiPt8
Source: the Alexandria database
Functional: GGA-PBE
Structure: relaxed

Cell: 9.5826 9.5826 2.7567 Å, 90.00 90.00 120.00°
With the nearest neighbours (Å) after each atom.
Element x y z (fractional)
Cu (0.0907, 0.6152, 0.2551)  2 Cu 2.43-2.46, 5 Pt 2.53-2.61
Cu (0.3849, 0.4756, 0.2551)  2 Cu 2.43-2.46, 5 Pt 2.53-2.61
Cu (0.4756, 0.0907, 0.7449)  2 Cu 2.43-2.46, 5 Pt 2.53-2.61
Cu (0.5244, 0.9093, 0.2551)  2 Cu 2.43-2.46, 5 Pt 2.53-2.61
Cu (0.6152, 0.5244, 0.7449)  2 Cu 2.43-2.46, 5 Pt 2.53-2.61
Cu (0.9093, 0.3849, 0.7449)  2 Cu 2.43-2.46, 5 Pt 2.53-2.61
Ni (0.0000, 0.0000, 0.5000)  6 Pt 2.60, 2 Ni 2.76
Pt (0.0781, 0.2910, 0.2414)  3 Cu 2.56-2.61, 1 Ni 2.60, 4 Pt 2.76-2.83
Pt (0.2129, 0.9219, 0.2414)  3 Cu 2.56-2.61, 1 Ni 2.60, 4 Pt 2.76-2.83
Pt (0.2910, 0.2129, 0.7586)  3 Cu 2.56-2.61, 1 Ni 2.60, 4 Pt 2.76-2.83
Pt (0.3333, 0.6667, 0.7566)  6 Cu 2.53, 2 Pt 2.76
Pt (0.6667, 0.3333, 0.2434)  6 Cu 2.53, 2 Pt 2.76
Pt (0.7090, 0.7871, 0.2414)  3 Cu 2.56-2.61, 1 Ni 2.60, 4 Pt 2.76-2.83
Pt (0.7871, 0.0781, 0.7586)  3 Cu 2.56-2.61, 1 Ni 2.60, 4 Pt 2.76-2.83
Pt (0.9219, 0.7090, 0.7586)  3 Cu 2.56-2.61, 1 Ni 2.60, 4 Pt 2.76-2.83

Properties
V ... 219.2 Å³/cell
Total energy ... -5.1563 eV/atom
N(E_F) ... 1.257 states/eV per atom
Relative energy among the computed polymorphs ... 0.000 eV/atom
Symmetry ... P-3, No. 147
Energy of formation from the pure elements ... 0.089 eV/atom


Record 8
Compound: CuNiPt2
Source: the Alexandria database
Functional: GGA-PBE
Structure: relaxed

Cell: 2.7616 4.4368 8.9488 Å, 90.00 90.00 90.00°
With the nearest neighbours (Å) after each atom.
Element x y z (fractional)
Cu (0.0000, 0.0000, 0.0000)  2 Ni 2.50, 6 Pt 2.62-2.66, 2 Cu 2.76
Cu (0.5000, 0.5000, 0.5000)  2 Ni 2.50, 6 Pt 2.62-2.66, 2 Cu 2.76
Ni (0.0000, 0.5000, 0.7335)  2 Cu 2.50, 6 Pt 2.58-2.62, 2 Ni 2.76
Ni (0.5000, 0.0000, 0.2335)  2 Cu 2.50, 6 Pt 2.58-2.62, 2 Ni 2.76
Pt (0.0000, 0.0000, 0.4774)  2 Ni 2.58, 4 Cu 2.62, 4 Pt 2.76-2.77
Pt (0.0000, 0.5000, 0.2458)  4 Ni 2.62, 2 Cu 2.66, 4 Pt 2.76-2.77
Pt (0.5000, 0.0000, 0.7458)  4 Ni 2.62, 2 Cu 2.66, 4 Pt 2.76-2.77
Pt (0.5000, 0.5000, 0.9774)  2 Ni 2.58, 4 Cu 2.62, 4 Pt 2.76-2.77

Properties
V ... 109.6 Å³/cell
Total energy ... -5.5274 eV/atom
N(E_F) ... 1.283 states/eV per atom
Symmetry ... Imm2, No. 44
Energy of formation from the pure elements ... -0.038 eV/atom